No. 1
A plane-wave DFT calculation with PBE was carried out for crystalline LiMg4SnHg2 at its relaxed geometry.

Computed properties:
ΔH_f (0 K) = -0.090 eV per atom
DOS(E_F) = 3.29 states/eV per cell

Geometry as CIF:
```
data_LiMg4SnHg2
_chemical_formula_sum 'Li1 Mg4 Sn1 Hg2'
_space_group_name_H-M_alt 'P 4/m m m'
_space_group_IT_number 123
_space_group_name_Hall '-P 4 2'
_cell_length_a 4.607
_cell_length_b 4.607
_cell_length_c 9.735
_cell_angle_alpha 90.00
_cell_angle_beta 90.00
_cell_angle_gamma 90.00
loop_
_atom_site_label
_atom_site_type_symbol
_atom_site_fract_x
_atom_site_fract_y
_atom_site_fract_z
Li1 Li 0.000 0.000 0.000
Mg1 Mg 0.000 0.500 0.317
Sn1 Sn 0.000 0.000 0.500
Hg1 Hg 0.500 0.500 0.143
```

---

No. 2
A plane-wave DFT calculation with PBE was carried out for crystalline Sm5Mg2Al2 at its relaxed geometry.

Computed properties:
ΔH_f (0 K) = -0.117 eV per atom
DOS(E_F) = 34.72 states/eV per cell

Geometry as CIF:
```
data_Sm5Mg2Al2
_chemical_formula_sum 'Sm20 Mg8 Al8'
_space_group_name_H-M_alt 'C m c e'
_space_group_IT_number 64
_space_group_name_Hall '-C 2ac 2'
_cell_length_a 17.803
_cell_length_b 7.333
_cell_length_c 8.095
_cell_angle_alpha 90.00
_cell_angle_beta 90.00
_cell_angle_gamma 90.00
loop_
_atom_site_label
_atom_site_type_symbol
_atom_site_fract_x
_atom_site_fract_y
_atom_site_fract_z
Sm1 Sm 0.000 0.000 0.000
Sm2 Sm 0.129 0.188 0.311
Mg1 Mg 0.229 0.000 0.000
Al1 Al 0.000 0.104 0.627
```

---

No. 3
A plane-wave DFT calculation with PBE was carried out for crystalline SrLiMo at its relaxed geometry.

Computed properties:
ΔH_f (0 K) = 0.983 eV per atom
DOS(E_F) = 3.01 states/eV per cell
energy relative to the lowest polymorph listed for this composition = 0.608 eV/atom

Geometry as CIF:
```
data_SrLiMo
_chemical_formula_sum 'Sr1 Li1 Mo1'
_space_group_name_H-M_alt 'P 3 m 1'
_space_group_IT_number 156
_cell_length_a 5.2504
_cell_length_b 5.2504
_cell_length_c 2.8554
_cell_angle_alpha 90.00
_cell_angle_beta 90.00
_cell_angle_gamma 120.00
loop_
_space_group_symop_operation_xyz
'x,y,z'
'-y,x-y,z'
'-x+y,-x,z'
'-y,-x,z'
'-x+y,y,z'
'x,x-y,z'
loop_
_atom_site_label
_atom_site_type_symbol
_atom_site_fract_x
_atom_site_fract_y
_atom_site_fract_z
Sr1 Sr 0.0000 0.0000 0.0000
Li1 Li 0.6667 0.3333 0.3421
Mo1 Mo 0.3333 0.6667 0.5474
```

---

No. 4
A plane-wave DFT calculation with PBE was carried out for crystalline Ca2CoNi at its relaxed geometry.

Computed properties:
ΔH_f (0 K) = 0.161 eV per atom
DOS(E_F) = 8.54 states/eV per cell
energy relative to the lowest polymorph listed for this composition = 0.129 eV/atom

Geometry as CIF:
```
data_Ca2CoNi
_chemical_formula_sum 'Ca4 Co2 Ni2'
_space_group_name_H-M_alt 'I m m 2'
_space_group_IT_number 44
_cell_length_a 3.848
_cell_length_b 4.336
_cell_length_c 11.473
_cell_angle_alpha 90.00
_cell_angle_beta 90.00
_cell_angle_gamma 90.00
loop_
_space_group_symop_operation_xyz
'x,y,z'
'-x,-y,z'
'-x,y,z'
'x,-y,z'
'x+1/2,y+1/2,z+1/2'
'-x+1/2,-y+1/2,z+1/2'
'-x+1/2,y+1/2,z+1/2'
'x+1/2,-y+1/2,z+1/2'
loop_
_atom_site_label
_atom_site_type_symbol
_atom_site_fract_x
_atom_site_fract_y
_atom_site_fract_z
Ca1 Ca 0.000 0.000 0.000
Ca2 Ca 0.000 0.500 0.242
Co1 Co 0.000 0.500 0.827
Ni1 Ni 0.000 0.000 0.421
```

---

No. 5
A plane-wave DFT calculation with PBE was carried out for crystalline Li2Pb3Se4 at its relaxed geometry.

Computed properties:
formation energy without anion corrections = -747 meV/atom

Geometry as CIF:
```
data_Li2Pb3Se4
_chemical_formula_sum 'Li4 Pb6 Se8'
_space_group_name_H-M_alt 'C 1 2/m 1'
_space_group_IT_number 12
_cell_length_a 14.102
_cell_length_b 4.319
_cell_length_c 9.811
_cell_angle_alpha 90.00
_cell_angle_beta 128.00
_cell_angle_gamma 90.00
loop_
_space_group_symop_operation_xyz
'x,y,z'
'-x,-y,-z'
'-x,y,-z'
'x,-y,z'
'x+1/2,y+1/2,z'
'-x+1/2,-y+1/2,-z'
'-x+1/2,y+1/2,-z'
'x+1/2,-y+1/2,z'
loop_
_atom_site_label
_atom_site_type_symbol
_atom_site_fract_x
_atom_site_fract_y
_atom_site_fract_z
Li1 Li 0.188 0.000 0.365
Pb1 Pb 0.000 0.500 0.000
Pb2 Pb 0.112 0.000 0.746
Se1 Se 0.086 0.500 0.374
Se2 Se 0.188 0.000 0.097
```

---

No. 6
A plane-wave DFT calculation with PBE was carried out for crystalline CsSiPb3 at its relaxed geometry.

Computed properties:
formation energy without anion corrections = 1667 meV/atom
DOS(E_F) = 6.24 states/eV per cell
energy relative to the lowest polymorph listed for this composition = 1.384 eV/atom

Geometry as CIF:
```
data_CsSiPb3
_chemical_formula_sum 'Cs1 Si1 Pb3'
_space_group_name_H-M_alt 'P m -3 m'
_space_group_IT_number 221
_space_group_name_Hall '-P 4 2 3'
_cell_length_a 6.249
_cell_length_b 6.249
_cell_length_c 6.249
_cell_angle_alpha 90.00
_cell_angle_beta 90.00
_cell_angle_gamma 90.00
loop_
_atom_site_label
_atom_site_type_symbol
_atom_site_fract_x
_atom_site_fract_y
_atom_site_fract_z
Cs1 Cs 0.000 0.000 0.000
Si1 Si 0.500 0.500 0.500
Pb1 Pb 0.000 0.000 0.500
```

---

No. 7
A plane-wave DFT calculation with PBE was carried out for crystalline Ge2Sb8Au at its relaxed geometry.

Computed properties:
formation energy without anion corrections = 194 meV/atom
DOS(E_F) = 9.71 states/eV per cell

Geometry as CIF:
```
data_Ge2Sb8Au
_chemical_formula_sum 'Ge4 Sb16 Au2'
_space_group_name_H-M_alt 'C 1 2/m 1'
_space_group_IT_number 12
_cell_length_a 14.878
_cell_length_b 7.775
_cell_length_c 5.858
_cell_angle_alpha 90.00
_cell_angle_beta 107.74
_cell_angle_gamma 90.00
loop_
_space_group_symop_operation_xyz
'x,y,z'
'-x,-y,-z'
'-x,y,-z'
'x,-y,z'
'x+1/2,y+1/2,z'
'-x+1/2,-y+1/2,-z'
'-x+1/2,y+1/2,-z'
'x+1/2,-y+1/2,z'
loop_
_atom_site_label
_atom_site_type_symbol
_atom_site_fract_x
_atom_site_fract_y
_atom_site_fract_z
Ge1 Ge 0.185 0.000 0.102
Sb1 Sb 0.090 0.254 0.309
Sb2 Sb 0.125 0.500 0.722
Sb3 Sb 0.216 0.000 0.654
Au1 Au 0.000 0.000 0.500
```

---

No. 8
A plane-wave DFT calculation with PBE was carried out for crystalline Ta14ReW at its relaxed geometry.

Computed properties:
ΔH_f (0 K) = -0.071 eV per atom
DOS(E_F) = 37.16 states/eV per cell

Geometry as CIF:
```
data_Ta14ReW
_chemical_formula_sum 'Ta28 Re2 W2'
_space_group_name_H-M_alt 'C m m m'
_space_group_IT_number 65
_space_group_name_Hall '-C 2 2'
_cell_length_a 6.604
_cell_length_b 9.312
_cell_length_c 9.338
_cell_angle_alpha 90.00
_cell_angle_beta 90.00
_cell_angle_gamma 90.00
loop_
_atom_site_label
_atom_site_type_symbol
_atom_site_fract_x
_atom_site_fract_y
_atom_site_fract_z
Ta1 Ta 0.000 0.000 0.000
Ta2 Ta 0.000 0.249 0.247
Ta3 Ta 0.000 0.500 0.000
Ta4 Ta 0.249 0.500 0.260
Ta5 Ta 0.250 0.250 0.000
Ta6 Ta 0.250 0.250 0.500
Re1 Re 0.000 0.500 0.500
W1 W 0.000 0.000 0.500
```